1.
Entry from OQMD via LeMat-Bulk: LuHgTe3Pb after structural relaxation (PBE).

Unit cell a=7.807 b=7.807 c=11.071 alpha=90.00 beta=90.00 gamma=147.86
Atoms (fractional coordinates):
1 Lu 0.000 0.000 0.000
2 Lu 0.000 0.000 0.500
3 Hg 0.466 0.534 0.750
4 Hg 0.534 0.466 0.250
5 Te 0.101 0.899 0.750
6 Te 0.355 0.645 0.535
7 Te 0.355 0.645 0.965
8 Te 0.645 0.355 0.035
9 Te 0.645 0.355 0.465
10 Te 0.899 0.101 0.250
11 Pb 0.231 0.769 0.250
12 Pb 0.769 0.231 0.750

Output
As for the space-group type: Cmcm, No. 63. Its uncorrected energy is -3.5418 eV/atom. The total magnetization is 0.003 μB/atom.

***

2.
Entry from OQMD via LeMat-Bulk: Cu5Ag4 after structural relaxation (PBE).

Unit cell a=7.164 b=7.164 c=8.161 alpha=123.57 beta=123.57 gamma=22.46
Atoms (fractional coordinates):
1 Cu 0.000 0.000 0.000
2 Cu 0.006 0.006 0.313
3 Cu 0.342 0.342 0.990
4 Cu 0.656 0.656 0.312
5 Cu 0.665 0.665 0.642
6 Ag 0.005 0.005 0.648
7 Ag 0.329 0.329 0.656
8 Ag 0.335 0.335 0.314
9 Ag 0.667 0.667 0.984

Output
As for the calculated formation energy: 0.109 eV/atom. As for the space-group type: Cm, No. 8.

***

3.
Entry from OQMD via LeMat-Bulk: YAgAsO after structural relaxation (PBE).

Unit cell a=4.332 b=6.249 c=5.728 alpha=90.00 beta=90.00 gamma=90.00
Atoms (fractional coordinates):
1 Y 0.000 0.250 0.000
2 Y 0.000 0.750 0.500
3 Ag 0.500 0.138 0.425
4 Ag 0.500 0.862 0.925
5 As 0.500 0.468 0.729
6 As 0.500 0.532 0.229
7 O 0.000 0.042 0.304
8 O 0.000 0.958 0.804

Output
As for the space-group type: Pmc2_1, No. 26. Its uncorrected energy is -5.9805 eV/atom. The total magnetization is 0.000 μB/atom.

***

4.
Entry from OQMD via LeMat-Bulk: Hf2ZrMo after structural relaxation (PBE).

Unit cell a=4.848 b=4.848 c=4.848 alpha=60.00 beta=60.00 gamma=60.00
Atoms (fractional coordinates):
1 Hf 0.000 0.000 0.000
2 Hf 0.250 0.250 0.250
3 Zr 0.500 0.500 0.500
4 Mo 0.750 0.750 0.750

Output
As for the calculated formation energy: 0.122 eV/atom. As for the space-group type: F-43m, No. 216. The total magnetization is 0.003 μB/atom.